Record 1
Here is crystalline CdReF2 at its relaxed geometry from Alexandria. Energies are from GGA-PBE.

Values from the calculation:
- E above lowest polymorph (meV per atom) = 1293
- raw formation energy (kcal/mol of atoms) = 6.928
- total magnetization (Bohr magnetons per cell) = 0.00
- crystal system = cubic

Unit cell a=6.066 b=6.066 c=6.066 alpha=90.00 beta=90.00 gamma=90.00
Space group Fm-3m (No. 225)
One atom of each set of equivalent atoms:
Cd 0.000 0.000 0.000 [4 per cell]
Re 0.000 0.000 0.500 [4 per cell]
F 0.250 0.250 0.250 [8 per cell]


Record 2
Here is crystalline Sr2Li2Cd3 at its relaxed geometry from Alexandria. Energies are from GGA-PBE.

Values from the calculation:
- total magnetization (Bohr magnetons per cell) = 0.00
- crystal system = orthorhombic
- ΔE_f (meV/atom) = -233

Unit cell a=4.864 b=21.103 c=7.976 alpha=90.00 beta=90.00 gamma=90.00
Space group Cmcm (No. 63)
One atom of each set of equivalent atoms:
Sr 0.000 0.055 0.250 [4 per cell]
Sr 0.000 0.158 0.750 [4 per cell]
Li 0.000 0.308 0.560 [8 per cell]
Cd 0.000 0.222 0.250 [4 per cell]
Cd 0.000 0.437 0.068 [8 per cell]


Record 3
Here is crystalline RbGeAu2 at its relaxed geometry from Alexandria. Energies are from GGA-PBE.

Values from the calculation:
- total magnetization (Bohr magnetons per cell) = 0.00
- crystal system = tetragonal
- ΔE_f (meV/atom) = -180

Unit cell a=5.634 b=5.634 c=16.597 alpha=90.00 beta=90.00 gamma=90.00
Space group I4_1/amd (No. 141, origin choice 2)
One atom of each set of equivalent atoms:
Rb 0.000 0.250 0.375 [4 per cell]
Ge 0.000 0.250 0.875 [4 per cell]
Au 0.000 0.000 0.000 [8 per cell]


Record 4
Here is crystalline Li3Ir5 at its relaxed geometry from Alexandria. Energies are from GGA-PBE.

Values from the calculation:
- total magnetization (Bohr magnetons per cell) = 0.00
- crystal system = hexagonal
- ΔE_f (meV/atom) = 188

Unit cell a=6.9877 b=6.9877 c=4.8425 alpha=90.00 beta=90.00 gamma=120.00
Space group P6_3/mcm (No. 193)
One atom of each set of equivalent atoms:
Li 0.0000 0.4008 0.2500 [6 per cell]
Ir 0.0000 0.2258 0.7500 [6 per cell]
Ir 0.3333 0.6667 0.0000 [4 per cell]


Record 5
Here is crystalline CoCuTc2 at its relaxed geometry from Alexandria. Energies are from GGA-PBE.

Values from the calculation:
- E above lowest polymorph (meV per atom) = 163
- total magnetization (Bohr magnetons per cell) = 4.24
- crystal system = cubic
- ΔE_f (meV/atom) = 288

Unit cell a=5.959 b=5.959 c=5.959 alpha=90.00 beta=90.00 gamma=90.00
Space group F-43m (No. 216)
One atom of each set of equivalent atoms:
Co 0.000 0.000 0.000 [4 per cell]
Cu 0.250 0.250 0.750 [4 per cell]
Tc 0.000 0.000 0.500 [4 per cell]
Tc 0.250 0.250 0.250 [4 per cell]